# DyPuNi4

An optimized crystal structure of DyPuNi4 (GGA-PBE, Alexandria).

a = 5.0622 Å, b = 5.0622 Å, c = 5.0622 Å
α = 60.00°, β = 60.00°, γ = 60.00°
With the nearest neighbours (Å) after each atom.
Fractional coordinates of all 6 atoms:
Dy 0.0000 0.0000 0.0000  12 Ni 2.97, 4 Pu 3.10
Pu 0.7500 0.7500 0.7500  12 Ni 2.97, 4 Dy 3.10
Ni 0.3755 0.3755 0.3755  6 Ni 2.52-2.54
Ni 0.3755 0.3755 0.8735  6 Ni 2.52-2.54
Ni 0.3755 0.8735 0.3755  6 Ni 2.52-2.54
Ni 0.8735 0.3755 0.3755  6 Ni 2.52-2.54

Calculated values
- Energy of formation: -0.328 eV/atom
- Total DFT energy (no corrections): -7.338 eV/atom
- Density of states at the Fermi level: 16.27 states/eV/f.u.